#w
This record from the Alexandria database describes a geometry-optimized Hf2Ag2F structure. The functional is PBE.

```
Hf2Ag2F
1.0
8.041 0.000 0.000
0.000 8.041 0.000
0.000 0.000 3.122
Hf Ag F
4 4 2
Direct
0.174 0.674 0.500
0.674 0.826 0.500
0.826 0.326 0.500
0.326 0.174 0.500
0.376 0.876 0.000
0.876 0.624 0.000
0.624 0.124 0.000
0.124 0.376 0.000
0.000 0.000 0.000
0.500 0.500 0.000
```

Fermi-level density of states ... 3.64 states/eV/f.u.
Space group ... P4/mbm, No. 127

***

#x
This record from the Alexandria database describes a geometry-optimized Hf2Ag2F structure. The functional is PBE.

```
Hf2Ag2F
1.0
3.903 0.000 0.000
0.000 3.903 0.000
1.951 1.951 7.243
Hf Ag F
2 2 1
Direct
0.750 0.250 0.500
0.250 0.750 0.500
0.403 0.403 0.194
0.597 0.597 0.806
0.000 0.000 0.000
```

Fermi-level density of states ... 1.83 states/eV/f.u.
Space group ... I4/mmm, No. 139

***

Going by the energies, #w is most stable and the next is 13.4 kJ/mol of atoms up.

***

#w
This record from the Alexandria database describes a geometry-optimized HfAg3F structure. The functional is PBE.

```
HfAg3F
1.0
5.370 0.000 0.000
0.000 5.370 0.000
0.000 0.000 5.370
Hf Ag F
1 3 1
Direct
0.000 0.000 0.000
0.000 0.500 0.000
0.000 0.000 0.500
0.500 0.000 0.000
0.500 0.500 0.500
```

Fermi-level density of states ... 2.66 states/eV/f.u.
Space group ... Pm-3m, No. 221

***

#x
This record from the Alexandria database describes a geometry-optimized HfAg3F structure. The functional is PBE.

```
HfAg3F
1.0
4.594 0.000 0.000
0.000 4.594 0.000
0.000 0.000 4.594
Hf Ag F
1 3 1
Direct
0.500 0.500 0.500
0.000 0.500 0.000
0.000 0.000 0.500
0.500 0.000 0.000
0.000 0.000 0.000
```

Fermi-level density of states ... 4.52 states/eV/f.u.
Space group ... Pm-3m, No. 221

***

Going by the energies, #x is most stable and the next is 68.7 kJ/mol of atoms up.

***

#w
This record from the Alexandria database describes a geometry-optimized Hf2AgF structure. The functional is PBE.

```
Hf2AgF
1.0
0.000 3.297 3.297
3.297 0.000 3.297
3.297 3.297 0.000
Hf Ag F
2 1 1
Direct
0.250 0.250 0.250
0.750 0.750 0.750
0.500 0.500 0.500
0.000 0.000 0.000
```

Fermi-level density of states ... 1.66 states/eV/f.u.
Space group ... Fm-3m, No. 225

***

#x
This record from the Alexandria database describes a geometry-optimized Hf2AgF structure. The functional is PBE.

```
Hf2AgF
1.0
-2.147 -4.517 -0.859
1.628 0.139 -4.804
5.268 -5.156 -1.043
Hf Ag F
4 2 2
Direct
0.532 0.125 0.250
0.218 0.625 0.250
0.375 0.468 0.750
0.875 0.782 0.750
0.000 0.000 0.000
0.750 0.250 0.500
0.500 0.500 0.000
0.250 0.750 0.500
```

Fermi-level density of states ... 2.15 states/eV/f.u.
Space group ... I-42d, No. 122

***

Going by the energies, #w is most stable and the next is 13.6 kJ/mol of atoms up.

***

#w
This record from the Alexandria database describes a geometry-optimized HfAg2F6 structure. The functional is PBE.

```
HfAg2F6
1.0
-3.735 3.512 1.696
-2.322 -3.889 2.939
6.272 2.611 8.410
Hf Ag F
2 4 12
Direct
0.500 0.500 0.000
0.000 0.000 0.500
0.500 0.500 0.339
0.500 0.500 0.661
0.000 0.000 0.161
0.000 0.000 0.839
0.682 0.682 0.135
0.682 0.682 0.865
0.737 0.737 0.500
0.763 0.237 0.000
0.818 0.182 0.365
0.818 0.182 0.635
0.182 0.818 0.365
0.182 0.818 0.635
0.237 0.763 0.000
0.263 0.263 0.500
0.318 0.318 0.135
0.318 0.318 0.865
```

Fermi-level density of states ... 0.00 states/eV/f.u.
Space group ... P4_2/mnm, No. 136

***

#x
This record from the Alexandria database describes a geometry-optimized HfAg2F6 structure. The functional is PBE.

```
HfAg2F6
1.0
-1.351 -0.899 5.701
6.115 0.292 1.495
-0.461 8.672 0.192
Hf Ag F
2 4 12
Direct
0.500 0.500 0.000
0.000 0.000 0.500
0.953 0.435 0.758
0.547 0.935 0.742
0.453 0.065 0.258
0.047 0.565 0.242
0.836 0.894 0.298
0.865 0.759 0.611
0.770 0.675 0.959
0.730 0.175 0.541
0.635 0.259 0.889
0.664 0.394 0.202
0.164 0.106 0.702
0.135 0.241 0.389
0.230 0.325 0.041
0.270 0.825 0.459
0.365 0.741 0.111
0.336 0.606 0.798
```

Fermi-level density of states ... 0.00 states/eV/f.u.
Space group ... P2_1/c, No. 14

***

Going by the energies, #w is most stable and the next is 2.8 kJ/mol of atoms up.

***

#w
This record from the Alexandria database describes a geometry-optimized HfAgF3 structure. The functional is PBE.

```
HfAgF3
1.0
4.408 0.000 0.000
0.000 4.408 0.000
0.000 0.000 4.408
Hf Ag F
1 1 3
Direct
0.500 0.500 0.500
0.000 0.000 0.000
0.000 0.500 0.000
0.000 0.000 0.500
0.500 0.000 0.000
```

Fermi-level density of states ... 4.48 states/eV/f.u.
Space group ... Pm-3m, No. 221

***

#x
This record from the Alexandria database describes a geometry-optimized HfAgF3 structure. The functional is PBE.

```
HfAgF3
1.0
4.256 0.000 0.000
0.000 4.256 0.000
0.000 0.000 4.256
Hf Ag F
1 1 3
Direct
0.000 0.000 0.000
0.500 0.500 0.500
0.000 0.500 0.000
0.000 0.000 0.500
0.500 0.000 0.000
```

Fermi-level density of states ... 3.29 states/eV/f.u.
Space group ... Pm-3m, No. 221

***

Going by the energies, #x is most stable and the next is 140.5 kJ/mol of atoms up.

***

#w
This record from the Alexandria database describes a geometry-optimized HfAg2F structure. The functional is PBE.

```
HfAg2F
1.0
7.561 0.000 0.000
0.000 7.561 0.000
3.781 3.781 2.488
Hf Ag F
2 4 2
Direct
0.000 0.000 0.000
0.750 0.250 0.500
0.584 0.125 0.250
0.166 0.625 0.250
0.375 0.416 0.750
0.875 0.834 0.750
0.500 0.500 0.000
0.250 0.750 0.500
```

Fermi-level density of states ... 3.09 states/eV/f.u.
Space group ... I-42d, No. 122

***

#x
This record from the Alexandria database describes a geometry-optimized HfAg2F structure. The functional is PBE.

```
HfAg2F
1.0
2.196 -1.950 3.609
-1.075 1.277 4.343
-2.276 -2.943 2.795
Hf Ag F
1 2 1
Direct
0.500 0.500 0.500
0.250 0.250 0.250
0.750 0.750 0.750
0.000 0.000 0.000
```

Fermi-level density of states ... 2.82 states/eV/f.u.
Space group ... Fm-3m, No. 225

***

Going by the energies, #w is most stable and the next is 30.8 kJ/mol of atoms up.

***

#w
This record from the Alexandria database describes a geometry-optimized HfAgNF2 structure. The functional is PBE.

```
HfAgNF2
1.0
4.155 0.000 0.000
0.000 4.155 0.000
0.000 0.000 4.229
N Hf Ag F
1 1 1 2
Direct
0.000 0.000 0.500
0.500 0.500 0.500
0.000 0.000 0.000
0.000 0.500 0.000
0.500 0.000 0.000
```

Fermi-level density of states ... 3.83 states/eV/f.u.
Space group ... P4/mmm, No. 123

***

#x
This record from the Alexandria database describes a geometry-optimized HfAgNF2 structure. The functional is PBE.

```
HfAgNF2
1.0
4.154 0.000 0.000
0.000 4.154 0.000
0.000 0.000 4.222
N Hf Ag F
1 1 1 2
Direct
0.000 0.000 0.500
0.000 0.000 0.000
0.500 0.500 0.500
0.000 0.500 0.000
0.500 0.000 0.000
```

Fermi-level density of states ... 0.82 states/eV/f.u.
Space group ... P4/mmm, No. 123

***

Going by the energies, #x is most stable and the next is 166.5 kJ/mol of atoms up.

***

#w
This record from the Alexandria database describes a geometry-optimized Ag2HgF3 structure. The functional is PBE.

```
Ag2HgF3
1.0
5.000 0.000 0.000
0.000 7.383 -1.267
0.000 -4.721 5.815
Ag Hg F
4 2 6
Direct
0.533 0.933 0.630
0.033 0.370 0.067
0.533 0.630 0.933
0.033 0.067 0.370
0.952 0.833 0.833
0.452 0.167 0.167
0.033 0.895 0.535
0.533 0.465 0.105
0.033 0.535 0.895
0.533 0.105 0.465
0.374 0.608 0.608
0.874 0.392 0.392
```

Fermi-level density of states ... 1.13 states/eV/f.u.
Space group ... Cmc2_1, No. 36

***

#x
This record from the Alexandria database describes a geometry-optimized Ag2HgF3 structure. The functional is PBE.

```
Ag2HgF3
1.0
-1.846 -5.527 -2.654
4.100 -4.703 -1.439
-1.016 -1.111 5.727
Ag Hg F
4 2 6
Direct
0.148 0.563 0.804
0.563 0.148 0.304
0.437 0.852 0.696
0.852 0.437 0.196
0.927 0.073 0.750
0.073 0.927 0.250
0.445 0.555 0.250
0.555 0.445 0.750
0.775 0.773 0.002
0.227 0.225 0.498
0.773 0.775 0.502
0.225 0.227 0.998
```

Fermi-level density of states ... 1.44 states/eV/f.u.
Space group ... C2/c, No. 15

***

Going by the energies, #w is most stable and the next is 1.8 kJ/mol of atoms up.

***

#w
This record from the Alexandria database describes a geometry-optimized AgHgF2 structure. The functional is PBE.

```
AgHgF2
1.0
-7.343 2.868 -1.792
-7.496 -0.093 -3.023
-8.074 0.378 0.099
Hg Ag F
1 1 2
Direct
0.500 0.500 0.500
0.000 0.000 0.000
0.912 0.912 0.912
0.088 0.088 0.088
```

Fermi-level density of states ... 1.10 states/eV/f.u.
Space group ... R-3m, No. 166

***

#x
This record from the Alexandria database describes a geometry-optimized AgHgF2 structure. The functional is PBE.

```
AgHgF2
1.0
3.490 -0.662 2.601
0.336 -3.721 2.329
3.018 -3.015 -1.090
Hg Ag F
1 1 2
Direct
0.500 0.500 0.500
0.000 0.000 0.000
0.250 0.250 0.250
0.750 0.750 0.750
```

Fermi-level density of states ... 1.21 states/eV/f.u.
Space group ... Fm-3m, No. 225

***

#y
This record from the Alexandria database describes a geometry-optimized AgHgF2 structure. The functional is PBE.

```
AgHgF2
1.0
-0.349 1.541 2.875
-0.685 -1.714 2.712
6.486 -0.823 3.061
Ag Hg F
1 1 2
Direct
0.667 0.667 0.000
0.500 0.500 0.500
0.077 0.077 0.768
0.256 0.256 0.232
```

Fermi-level density of states ... 0.93 states/eV/f.u.
Space group ... Cm, No. 8

***

Going by the energies, #y is most stable and the next is 0.8 kJ/mol of atoms up.

***

#w
This record from the Alexandria database describes a geometry-optimized AgHgF2 structure. The functional is PBE.

```
AgHgF2
1.0
-1.421 0.468 -2.681
-1.009 -4.312 -0.218
-3.799 0.781 2.150
Hg Ag F
1 1 2
Direct
0.500 0.500 0.500
0.500 0.000 0.000
0.000 0.000 0.500
0.000 0.500 0.000
```

Fermi-level density of states ... 0.42 states/eV/f.u.
Space group ... P4/mmm, No. 123

***

#x
This record from the Alexandria database describes a geometry-optimized AgHgF2 structure. The functional is PBE.

```
AgHgF2
1.0
0.316 1.521 -3.272
3.085 -4.610 -1.845
-7.280 -2.110 0.321
Ag Hg F
2 2 4
Direct
0.542 0.919 0.571
0.042 0.419 0.571
0.042 0.919 0.071
0.042 0.419 0.071
0.233 0.815 0.766
0.852 0.022 0.376
0.538 0.522 0.376
0.547 0.315 0.766
```

Fermi-level density of states ... 2.25 states/eV/f.u.
Space group ... C2/c, No. 15

***

Going by the energies, #x is most stable and the next is 1.1 kJ/mol of atoms up.

***

#w
This record from the Alexandria database describes a geometry-optimized AgHg3F6 structure. The functional is PBE.

```
AgHg3F6
1.0
-6.628 -1.261 -2.349
3.221 2.215 -5.979
2.569 -6.638 0.614
Ag Hg F
2 6 12
Direct
0.000 0.000 0.000
0.500 0.500 0.500
0.129 0.617 0.289
0.289 0.129 0.617
0.383 0.711 0.871
0.617 0.289 0.129
0.711 0.871 0.383
0.871 0.383 0.711
0.064 0.674 0.931
0.069 0.936 0.326
0.174 0.429 0.594
0.326 0.069 0.936
0.429 0.594 0.174
0.406 0.826 0.571
0.594 0.174 0.429
0.571 0.406 0.826
0.674 0.931 0.064
0.826 0.571 0.406
0.931 0.064 0.674
0.936 0.326 0.069
```

Fermi-level density of states ... 0.92 states/eV/f.u.
Space group ... R-3, No. 148

***

#x
This record from the Alexandria database describes a geometry-optimized AgHg3F6 structure. The functional is PBE.

```
AgHg3F6
1.0
-2.855 -1.943 -1.393
-0.464 -4.881 7.756
-5.798 7.145 1.918
Ag Hg F
2 6 12
Direct
0.750 0.047 0.696
0.250 0.953 0.304
0.750 0.376 0.826
0.250 0.624 0.174
0.750 0.696 0.543
0.250 0.304 0.457
0.750 0.187 0.039
0.250 0.813 0.961
0.750 0.453 0.596
0.250 0.547 0.404
0.750 0.952 0.107
0.250 0.048 0.893
0.750 0.461 0.110
0.250 0.539 0.890
0.750 0.763 0.316
0.250 0.237 0.684
0.750 0.127 0.435
0.250 0.873 0.565
0.750 0.776 0.792
0.250 0.224 0.208
```

Fermi-level density of states ... 1.24 states/eV/f.u.
Space group ... P2_1/m, No. 11

***

Going by the energies, #x is most stable and the next is 0.8 kJ/mol of atoms up.